# 1
# La2MnPt (SCAN, PBEsol geometry)
data_La2MnPt
_chemical_formula_sum 'La4 Mn2 Pt2'
_cell_length_a 4.225
_cell_length_b 4.225
_cell_length_c 10.011
_cell_angle_alpha 90.00
_cell_angle_beta 90.00
_cell_angle_gamma 90.00
_space_group_name_H-M_alt 'I -4 m 2'
_space_group_IT_number 119
_space_group_name_Hall 'I -4 -2'
loop_
_atom_site_label
_atom_site_fract_x
_atom_site_fract_y
_atom_site_fract_z
_atom_site_occupancy
La1 0.000 0.000 0.000 1
La2 0.000 0.500 0.250 1
Mn1 0.000 0.000 0.500 1
Pt1 0.000 0.500 0.750 1
# Formation energy from the elements (meV per atom): -450
# Crystal system: tetragonal

# 2
# ScGeN3 (SCAN, PBEsol geometry)
data_ScGeN3
_chemical_formula_sum 'Sc1 Ge1 N3'
_cell_length_a 4.118
_cell_length_b 4.118
_cell_length_c 4.118
_cell_angle_alpha 90.00
_cell_angle_beta 90.00
_cell_angle_gamma 90.00
_space_group_name_H-M_alt 'P m -3 m'
_space_group_IT_number 221
_space_group_name_Hall '-P 4 2 3'
loop_
_atom_site_label
_atom_site_fract_x
_atom_site_fract_y
_atom_site_fract_z
_atom_site_occupancy
Sc1 0.000 0.000 0.000 1
Ge1 0.500 0.500 0.500 1
N1 0.000 0.000 0.500 1
# Uncorrected formation energy (kcal/mol of atoms): 22.93
# Crystal system: cubic